No. 1
Entry from Alexandria via LeMat-Bulk: a relaxed structure of TlCoPdF6 (PBE with a Hubbard U).

Cell: 5.623 5.623 5.821 Å, 90.02 90.02 120.11°
Fractional positions:
Tl (0.000, 0.000, 0.000)
Co (0.335, 0.665, 0.500)
Pd (0.670, 0.330, 0.500)
F (0.032, 0.389, 0.691)
F (0.039, 0.643, 0.314)
F (0.357, 0.961, 0.686)
F (0.359, 0.389, 0.316)
F (0.611, 0.641, 0.684)
F (0.611, 0.968, 0.309)

Results
total DFT energy (no corrections) = -4.31 eV per atom
M_tot = 6.0 μB per cell
calculated volume = 17.69 Å³/atom
mass density = 5.045 g/cm3

---

No. 2
Entry from Alexandria via LeMat-Bulk: a relaxed structure of Tl2Co3PdF12 (PBE with a Hubbard U).

Cell: 7.472 7.472 7.472 Å, 59.23 59.23 59.23°
Fractional positions:
Tl (0.103, 0.103, 0.103)
Tl (0.897, 0.897, 0.897)
Co (0.000, 0.500, 0.500)
Co (0.500, 0.000, 0.500)
Co (0.500, 0.500, 0.000)
Pd (0.500, 0.500, 0.500)
F (0.176, 0.176, 0.578)
F (0.176, 0.578, 0.176)
F (0.177, 0.573, 0.573)
F (0.422, 0.824, 0.824)
F (0.427, 0.427, 0.823)
F (0.427, 0.823, 0.427)
F (0.573, 0.177, 0.573)
F (0.573, 0.573, 0.177)
F (0.578, 0.176, 0.176)
F (0.823, 0.427, 0.427)
F (0.824, 0.422, 0.824)
F (0.824, 0.824, 0.422)

Results
total DFT energy (no corrections) = -4.50 eV per atom
density of states at the Fermi level = 0.1668 states/eV per atom
M_tot = 9.0 μB per cell
calculated volume = 16.10 Å³/atom
mass density = 5.270 g/cm3

---

> M_tot of number 2 (Tl2Co3PdF12)?

9.0 μB per cell

---

What did the second record say?
Entry from Alexandria via LeMat-Bulk: a relaxed structure of Tl2Co3PdF12 (PBE with a Hubbard U).

Cell: 7.472 7.472 7.472 Å, 59.23 59.23 59.23°
Fractional positions:
Tl (0.103, 0.103, 0.103)
Tl (0.897, 0.897, 0.897)
Co (0.000, 0.500, 0.500)
Co (0.500, 0.000, 0.500)
Co (0.500, 0.500, 0.000)
Pd (0.500, 0.500, 0.500)
F (0.176, 0.176, 0.578)
F (0.176, 0.578, 0.176)
F (0.177, 0.573, 0.573)
F (0.422, 0.824, 0.824)
F (0.427, 0.427, 0.823)
F (0.427, 0.823, 0.427)
F (0.573, 0.177, 0.573)
F (0.573, 0.573, 0.177)
F (0.578, 0.176, 0.176)
F (0.823, 0.427, 0.427)
F (0.824, 0.422, 0.824)
F (0.824, 0.824, 0.422)

Results
total DFT energy (no corrections) = -4.50 eV per atom
density of states at the Fermi level = 0.1668 states/eV per atom
M_tot = 9.0 μB per cell
calculated volume = 16.10 Å³/atom
mass density = 5.270 g/cm3